! Tb7Er12Zr (PBE, relaxed); values from VASP
! Crystal system ... cubic
! Formation energy from the elements ... 15.58 eV per formula unit
! Magnetic moment ... 0.0 μB/f.u.
! Calculated volume ... 35.6 A^3/atom
&SYSTEM
  ibrav = 0, nat = 20, ntyp = 3
/
ATOMIC_SPECIES
Tb 158.93 Tb.upf
Er 167.26 Er.upf
Zr 91.22 Zr.upf
CELL_PARAMETERS angstrom
-4.984 -8.106 2.113
-1.747 2.574 -9.238
9.536 -1.652 1.165
ATOMIC_POSITIONS angstrom
Tb -3.366 -2.766 -3.563
Tb 3.894 0.461 -4.037
Tb 2.276 -4.879 1.639
Tb 1.402 -3.592 -2.980
Tb 4.768 -0.826 0.582
Tb -2.492 -4.053 1.056
Tb -0.874 1.287 -4.619
Er 3.282 -3.848 -5.119
Er -4.268 -6.453 -4.854
Er -0.477 -3.337 -0.841
Er 7.073 -0.732 -1.106
Er -1.815 -6.698 1.904
Er 2.572 -6.179 -2.643
Er 4.619 -0.487 -7.865
Er 0.233 -1.006 -3.318
Er 0.111 -5.255 -4.915
Er 2.693 -1.930 -1.045
Er 5.257 -7.426 0.800
Er -2.452 0.242 -6.761
Zr 0.000 0.000 0.000